(1)
VASP calculation (PBE-GGA) on an optimized crystal structure of Pm4YTl5. Values from VASP.

Fermi-level density of states: 8.3 states/eV/f.u.
ρ: 9.74 g cm⁻³
Formation energy: -387.1 meV per atom
Size of the total moment: 0.00 μB/f.u.
E_tot: -4.1169 eV/atom

```
&SYSTEM
  ibrav = 0, nat = 10, ntyp = 3
/
ATOMIC_SPECIES
Tl 204.38 Tl.upf
Pm 145.00 Pm.upf
Y 88.91 Y.upf
CELL_PARAMETERS angstrom
3.8233 0.0000 0.0000
0.0000 3.8233 0.0000
0.0000 0.0000 19.7243
ATOMIC_POSITIONS crystal
Tl 0.5000 0.5000 0.2975
Pm 0.0000 0.0000 0.6011
Y 0.0000 0.0000 0.0000
Pm 0.0000 0.0000 0.1963
Tl 0.5000 0.5000 0.7025
Tl 0.5000 0.5000 0.9052
Pm 0.0000 0.0000 0.8037
Tl 0.5000 0.5000 0.5000
Tl 0.5000 0.5000 0.0948
Pm 0.0000 0.0000 0.3989
```

(2)
VASP calculation (PBE-GGA) on an optimized crystal structure of SrCuO2. Values from VASP.

Fermi-level density of states: 0.7 states/eV/f.u.
ρ: 5.17 g cm⁻³
Size of the total moment: 0.00 μB/f.u.
E_tot: -5.6525 eV/atom
Energy relative to the elements, uncorrected: -6.9 eV/f.u.

```
&SYSTEM
  ibrav = 0, nat = 8, ntyp = 3
/
ATOMIC_SPECIES
Sr 87.62 Sr.upf
O 16.00 O.upf
Cu 63.55 Cu.upf
CELL_PARAMETERS angstrom
-1.8520 -2.8996 -1.2018
-0.2273 -1.3945 3.7146
-6.0582 5.4634 1.6802
ATOMIC_POSITIONS crystal
Sr 0.6674 0.2500 0.3348
O 0.9448 0.7500 0.8897
O 0.8204 0.2500 0.6408
Cu 0.9378 0.2500 0.8757
Cu 0.0622 0.7500 0.1243
Sr 0.3326 0.7500 0.6652
O 0.0552 0.2500 0.1103
O 0.1796 0.7500 0.3592
```

(3)
VASP calculation (PBE-GGA) on an optimized crystal structure of Pr2Os2Cl. Values from VASP.

Fermi-level density of states: 3.0 states/eV/f.u.
ρ: 8.89 g cm⁻³
Size of the total moment: 0.00 μB/f.u.
E_tot: -7.4850 eV/atom
Energy relative to the elements, uncorrected: -3.6 eV/f.u.

```
&SYSTEM
  ibrav = 0, nat = 5, ntyp = 3
/
ATOMIC_SPECIES
Os 190.23 Os.upf
Cl 35.45 Cl.upf
Pr 140.91 Pr.upf
CELL_PARAMETERS angstrom
-4.0443 1.3229 0.3250
1.1418 -3.7816 1.6151
4.0889 3.9789 6.4607
ATOMIC_POSITIONS crystal
Os 0.6519 0.8258 0.4777
Cl 0.0000 0.0000 0.0000
Os 0.3481 0.1742 0.5223
Pr 0.8408 0.4212 0.2620
Pr 0.1592 0.5788 0.7380
```

(4)
VASP calculation (PBE-GGA) on an optimized crystal structure of LaAgCl. Values from VASP.

E above lowest polymorph: 198.4 kJ/mol of formula units
Fermi-level density of states: 2.7 states/eV/f.u.
ρ: 5.37 g cm⁻³
Size of the total moment: 0.00 μB/f.u.
E_tot: -3.6557 eV/atom
Energy relative to the elements, uncorrected: -1.3 eV/f.u.

```
&SYSTEM
  ibrav = 0, nat = 3, ntyp = 3
/
ATOMIC_SPECIES
La 138.91 La.upf
Ag 107.87 Ag.upf
Cl 35.45 Cl.upf
CELL_PARAMETERS angstrom
-3.1669 3.5128 1.5516
-0.4572 0.9671 4.8613
1.7422 4.2749 1.8618
ATOMIC_POSITIONS crystal
La 0.5000 0.5000 0.5000
Ag 0.7500 0.7500 0.7500
Cl 0.0000 0.0000 0.0000
```

(5)
VASP calculation (PBE-GGA) on an optimized crystal structure of Hf2Pd3Au6. Values from VASP.

E above lowest polymorph: 120.2 kJ/mol of formula units
Fermi-level density of states: 1.5 states/eV/f.u.
ρ: 14.63 g cm⁻³
Formation energy: -234.6 meV per atom
Size of the total moment: 0.00 μB/f.u.
E_tot: -5.2482 eV/atom

```
&SYSTEM
  ibrav = 0, nat = 11, ntyp = 3
/
ATOMIC_SPECIES
Pd 106.42 Pd.upf
Au 196.97 Au.upf
Hf 178.49 Hf.upf
CELL_PARAMETERS angstrom
3.7736 0.0000 0.0000
0.0000 3.7736 0.0000
-1.8868 -1.8868 14.8096
ATOMIC_POSITIONS crystal
Pd 0.1395 0.1395 0.2790
Au 0.4304 0.9304 0.8608
Au 0.7704 0.7704 0.5408
Hf 0.6746 0.6746 0.3492
Pd 0.0000 0.0000 0.0000
Au 0.5696 0.0696 0.1392
Au 0.9304 0.4304 0.8608
Au 0.2296 0.2296 0.4592
Hf 0.3254 0.3254 0.6508
Pd 0.8605 0.8605 0.7210
Au 0.0696 0.5696 0.1392
```

(6)
VASP calculation (PBE-GGA) on an optimized crystal structure of LiP2PtC. Values from VASP.

E above lowest polymorph: 199.3 kJ/mol of formula units
Fermi-level density of states: 2.1 states/eV/f.u.
ρ: 4.82 g cm⁻³
Formation energy: 909.8 meV per atom
Size of the total moment: 0.00 μB/f.u.
E_tot: -4.6899 eV/atom

```
&SYSTEM
  ibrav = 0, nat = 5, ntyp = 4
/
ATOMIC_SPECIES
Li 6.94 Li.upf
C 12.01 C.upf
P 30.97 P.upf
Pt 195.08 Pt.upf
CELL_PARAMETERS angstrom
-3.2776 -3.0047 -2.3477
2.3551 -2.9030 0.4273
-2.1526 -1.0972 4.4096
ATOMIC_POSITIONS crystal
Li 0.5000 0.5000 0.5000
C 0.0000 0.5000 0.0000
P 0.5000 0.0000 0.0000
P 0.0000 0.0000 0.5000
Pt 0.0000 0.0000 0.0000
```